This record from Alexandria via LeMat-Bulk describes a relaxed structure of ReAuC2. The functional is PBE.

POSCAR file:
```
ReAuC2
1.0
4.873 0.000 0.000
0.000 4.873 0.000
2.436 2.436 4.717
Au Re C
2 2 4
Cartesian
4.873 2.436 2.359
0.000 0.000 0.000
2.436 2.436 0.000
2.436 4.873 2.359
1.474 3.654 1.179
3.654 3.911 3.538
6.091 5.835 3.538
3.398 1.218 1.179
```

Values from the calculation:
D(E_F)   1.65 states/eV per cell
Space-group type   No. 122
Energy relative to the lowest polymorph listed for this composition   0.000 eV/f.u.

This record from Alexandria via LeMat-Bulk describes a relaxed structure of Pm3Pr7Mg. The functional is PBE.

POSCAR file:
```
Pm3Pr7Mg
1.0
-5.056 5.630 4.554
3.294 -1.990 6.116
2.619 5.498 -3.890
Pm Pr Mg
3 7 1
Cartesian
-1.001 6.154 4.690
-2.302 3.423 6.622
0.635 5.165 7.728
0.902 1.807 6.484
2.140 4.906 -1.685
-0.728 2.792 3.456
2.483 1.158 3.309
0.834 2.164 0.255
2.198 4.529 4.559
3.782 3.913 1.365
0.580 5.523 1.485
```

Values from the calculation:
D(E_F)   16.27 states/eV per cell
Space-group type   No. 156
Energy   -4.318 eV per atom

| no. | total magnetic moment (μB per formula unit) |
| --- | --- |
| 1 | 0.0 |
| 2 | 0.0 |